No. 1
An optimized crystal structure of LaTe2P. Source: Alexandria, functional GGA-PBE.

Structure (extended XYZ):
```
4
Lattice="-1.501 2.115 6.048 -3.348 4.787 2.983 -4.026 -1.512 1.201" Properties=species:S:1:pos:R:3 pbc="T T T"
La 0.000 0.000 0.000
Te -0.751 1.058 3.024
Te -3.687 1.638 2.092
P -4.438 2.695 5.116
```

Calculated values
Space group: No. 69
Raw formation energy in eV/atom: -0.62
Total DFT energy (no corrections) in eV per atom: -4.774

---

No. 2
An optimized crystal structure of Sr2PHPd6. Source: Alexandria, functional GGA-PBE.

Structure (extended XYZ):
```
10
Lattice="-3.779 4.299 2.009 -0.638 -3.177 5.629 1.203 2.627 5.769" Properties=species:S:1:pos:R:3 pbc="T T T"
Sr -2.481 3.765 5.592
Sr -0.733 -0.016 7.815
P -2.209 0.561 3.819
H 0.000 0.000 0.000
Pd -0.409 1.584 4.996
Pd -3.252 0.805 5.945
Pd -1.353 -1.361 4.938
Pd -1.861 5.110 8.469
Pd 0.038 2.945 7.462
Pd -2.804 2.165 8.411
```

Calculated values
Space group: No. 2
Total DFT energy (no corrections) in eV per atom: -4.935

---

No. 3
An optimized crystal structure of RbLi3Ag. Source: Alexandria, functional GGA-PBE.

Structure (extended XYZ):
```
5
Lattice="-5.136 1.424 -0.490 -1.438 -4.123 3.094 0.446 3.101 4.339" Properties=species:S:1:pos:R:3 pbc="T T T"
Rb -3.064 0.201 3.472
Ag 0.000 0.000 0.000
Li -0.719 -2.061 1.547
Li 0.223 1.550 2.169
Li -2.568 0.712 -0.245
```

Calculated values
Space group: No. 221
Polymorph energy (0 for the lowest one) in eV per formula unit: 0.00
Total DFT energy (no corrections) in eV per atom: -1.844

---

No. 4
An optimized crystal structure of KMgSe2N. Source: Alexandria, functional GGA-PBE.

Structure (extended XYZ):
```
5
Lattice="5.372 0.000 0.000 0.000 5.372 0.000 0.000 0.000 4.305" Properties=species:S:1:pos:R:3 pbc="T T T"
K 2.686 2.686 2.152
Mg 0.000 0.000 0.000
Se 0.000 2.686 0.000
Se 2.686 0.000 0.000
N 0.000 0.000 2.152
```

Calculated values
Space group: No. 123
Raw formation energy in eV/atom: 0.16
Polymorph energy (0 for the lowest one) in eV per formula unit: 0.00
Total DFT energy (no corrections) in eV per atom: -3.439

---

No. 5
An optimized crystal structure of TeMo4As. Source: Alexandria, functional GGA-PBE.

Structure (extended XYZ):
```
6
Lattice="0.000 3.768 3.768 3.768 0.000 3.768 3.768 3.768 0.000" Properties=species:S:1:pos:R:3 pbc="T T T"
Te 5.652 5.652 5.652
Mo 2.822 4.715 4.715
Mo 4.715 4.715 2.822
Mo 4.715 2.822 4.715
Mo 2.822 2.822 2.822
As 0.000 0.000 0.000
```

Calculated values
Space group: No. 216
Raw formation energy in eV/atom: 0.58
Total DFT energy (no corrections) in eV per atom: -7.936

---

No. 6
An optimized crystal structure of LaSb2W. Source: Alexandria, functional GGA-PBE.

Structure (extended XYZ):
```
4
Lattice="-1.308 1.056 4.688 3.121 -3.767 0.934 3.001 2.551 0.262" Properties=species:S:1:pos:R:3 pbc="T T T"
La 3.061 -0.608 0.598
Sb 0.000 0.000 0.000
Sb 0.906 -1.355 2.811
W 0.847 1.804 2.475
```

Calculated values
Space group: No. 65
Raw formation energy in eV/atom: 0.23
Polymorph energy (0 for the lowest one) in eV per formula unit: 1.55
Total DFT energy (no corrections) in eV per atom: -6.304